[1]
Below is an optimized crystal structure of FeRePb, with properties calculated at the PBE level.

Formation energy from the elements   0.68 eV per atom
Energy   -7.53 eV/atom
Calculated volume   51.5 Å³ per cell
Size of the total moment   0.2412 μB per atom
Calculated density   14.48 g/cm3
D(E_F)   2.303 states/eV/cell
Energy relative to the lowest polymorph listed for this composition   0 meV per atom

Unit cell a=6.2720 b=6.2720 c=2.9512 alpha=76.39 beta=76.39 gamma=27.21
Each line ends with the local moment (μB).
Sites, in units of the cell vectors:
Re  0.6388  0.6388  0.3612  -0.19
Pb  0.3375  0.3375  0.6625  -0.01
Fe  0.0237  0.0237  0.9763  0.96


[2]
Below is an optimized crystal structure of Cd3Sn2Pb, with properties calculated at the PBE level.

Formation energy from the elements   0.09 eV per atom
Energy   -2.32 eV/atom
Calculated volume   351.5 Å³ per cell
Size of the total moment   0.0000 μB per atom
Calculated density   7.39 g/cm3
D(E_F)   4.199 states/eV/cell

Unit cell a=4.7914 b=5.3886 c=18.4160 alpha=132.32 beta=89.98 gamma=90.02
Sites, in units of the cell vectors:
Cd  0.2501  0.7031  0.5081
Cd  0.7498  0.7473  0.2604
Cd  0.2498  0.3757  0.1261
Cd  0.7502  0.6243  0.8739
Cd  0.7499  0.2969  0.4919
Cd  0.2502  0.2527  0.7396
Pb  0.7500  0.8587  0.7587
Pb  0.2500  0.1413  0.2413
Sn  0.2500  0.4335  0.6130
Sn  0.2501  0.6364  0.9845
Sn  0.7500  0.5665  0.3870
Sn  0.7499  0.3636  0.0155